No. 1
This record from Alexandria via LeMat-Bulk describes a geometry-optimized Sn12HgAu4 structure. The functional is PBE.

Cell lengths 9.747, 9.747, 9.747 Å; angles 90.00, 90.00, 90.00 degrees
Space group Im-3 (No. 204)
Inequivalent atoms, fractional coordinates:
Sn: 0.000 0.346 0.152
Hg: 0.000 0.000 0.000
Au: 0.250 0.250 0.250

Results
E_form = -0.060 eV per atom
Magnetic moment = 0.0 μB/f.u.

=====

No. 2
This record from Alexandria via LeMat-Bulk describes a geometry-optimized MgTaIr3 structure. The functional is PBE.

Cell lengths 4.790, 4.790, 4.790 Å; angles 90.00, 90.00, 90.00 degrees
Space group Pm-3m (No. 221)
Inequivalent atoms, fractional coordinates:
Mg: 0.000 0.000 0.000
Ta: 0.500 0.500 0.500
Ir: 0.000 0.500 0.500

Results
E_form = 1.030 eV per atom
Magnetic moment = 0.0 μB/f.u.

=====

No. 3
This record from Alexandria via LeMat-Bulk describes a geometry-optimized NaDyNp4N8 structure. The functional is PBE.

Cell lengths 6.8837, 6.8837, 15.7705 Å; angles 90.00, 90.00, 120.00 degrees
Space group R3m (No. 160, hexagonal axes)
Inequivalent atoms, fractional coordinates:
Na: 0.0000 0.0000 0.0000
Dy: 0.0000 0.0000 0.3824
Np: 0.0000 0.0000 0.6096
Np: 0.9997 0.4999 0.4986
N: 0.0000 0.0000 0.2352
N: 0.0000 0.0000 0.7562
N: 0.0263 0.5131 0.7684
N: 0.1788 0.3576 0.5684

Results
Formation energy (no corrections) = -0.95 eV per atom
Magnetic moment = 8.0 μB/f.u.